1.
Below is a relaxed structure of Nd7SmY12, with properties calculated at the PBE-GGA level.

Results
For the raw total energy, the calculation gives -111.0 eV for the cell shown. Its magnetic moment is 0.000 Bohr magnetons per cell. As for the symmetry: R-3 (148).

a = 8.866 Å, b = 8.866 Å, c = 8.866 Å
α = 86.04°, β = 86.04°, γ = 86.04°
Fractional coordinates of all 20 atoms:
Nd: 0.603 0.924 0.845
Nd: 0.845 0.603 0.924
Nd: 0.155 0.397 0.076
Nd: 0.397 0.076 0.155
Nd: 0.500 0.500 0.500
Nd: 0.924 0.845 0.603
Nd: 0.076 0.155 0.397
Y: 0.144 0.745 0.273
Y: 0.617 0.136 0.497
Y: 0.136 0.497 0.617
Y: 0.383 0.864 0.503
Y: 0.864 0.503 0.383
Y: 0.497 0.617 0.136
Y: 0.503 0.383 0.864
Y: 0.727 0.856 0.255
Y: 0.745 0.273 0.144
Y: 0.255 0.727 0.856
Y: 0.856 0.255 0.727
Y: 0.273 0.144 0.745
Sm: 0.000 0.000 0.000

2.
Below is a relaxed structure of Nd2Sm4Y7, with properties calculated at the PBE-GGA level.

Results
For the raw total energy, the calculation gives -73.4 eV for the cell shown. Its magnetic moment is 0.000 Bohr magnetons per cell. As for the symmetry: P-1 (2).

a = 6.247 Å, b = 11.393 Å, c = 6.244 Å
α = 100.41°, β = 80.39°, γ = 90.02°
Fractional coordinates of all 13 atoms:
Y: 0.539 0.076 0.769
Y: 0.000 0.000 0.000
Y: 0.461 0.924 0.231
Y: 0.769 0.539 0.386
Y: 0.847 0.693 0.922
Y: 0.231 0.461 0.614
Y: 0.153 0.307 0.078
Nd: 0.308 0.617 0.154
Nd: 0.692 0.383 0.846
Sm: 0.615 0.230 0.307
Sm: 0.923 0.846 0.462
Sm: 0.385 0.770 0.693
Sm: 0.077 0.154 0.538

3.
Below is a relaxed structure of NdSm4Y6, with properties calculated at the PBE-GGA level.

Results
For the raw total energy, the calculation gives -60.6 eV for the cell shown. Its magnetic moment is 0.000 Bohr magnetons per cell. As for the symmetry: P-6m2 (187).

a = 3.597 Å, b = 11.026 Å, c = 11.026 Å
α = 120.00°, β = 90.00°, γ = 90.00°
Fractional coordinates of all 11 atoms:
Sm: 0.500 0.327 0.163
Sm: 0.500 0.837 0.673
Sm: 0.500 0.837 0.163
Sm: 0.000 0.333 0.667
Y: 0.000 0.517 0.483
Y: 0.000 0.517 0.033
Y: 0.500 0.183 0.366
Y: 0.500 0.634 0.817
Y: 0.500 0.183 0.817
Y: 0.000 0.967 0.483
Nd: 0.000 0.000 0.000

4.
Below is a relaxed structure of Nd4Sm2Y5, with properties calculated at the PBE-GGA level.

Results
For the raw total energy, the calculation gives -59.7 eV for the cell shown. Its magnetic moment is 0.000 Bohr magnetons per cell. As for the symmetry: C2/m (12).

a = 5.735 Å, b = 6.700 Å, c = 10.108 Å
α = 89.30°, β = 106.48°, γ = 90.00°
Fractional coordinates of all 11 atoms:
Y: 0.500 0.000 0.000
Y: 0.131 0.112 0.262
Y: 0.869 0.888 0.738
Y: 0.790 0.398 0.580
Y: 0.210 0.602 0.420
Nd: 0.022 0.715 0.043
Nd: 0.695 0.925 0.389
Nd: 0.978 0.285 0.957
Nd: 0.305 0.075 0.611
Sm: 0.403 0.551 0.805
Sm: 0.597 0.449 0.195

5.
Below is a relaxed structure of NdSm4Y, with properties calculated at the PBE-GGA level.

Results
For the raw total energy, the calculation gives -57.4 eV for the cell shown. Its magnetic moment is 0.000 Bohr magnetons per cell. As for the symmetry: Cmcm (63).

a = 7.038 Å, b = 7.038 Å, c = 9.757 Å
α = 90.00°, β = 90.00°, γ = 121.21°
Fractional coordinates of all 12 atoms:
Sm: 0.655 0.345 0.927
Sm: 0.634 0.841 0.750
Sm: 0.159 0.366 0.750
Sm: 0.345 0.655 0.427
Sm: 0.366 0.159 0.250
Sm: 0.841 0.634 0.250
Sm: 0.655 0.345 0.573
Sm: 0.345 0.655 0.073
Nd: 0.821 0.179 0.250
Nd: 0.179 0.821 0.750
Y: 0.000 0.000 0.500
Y: 0.000 0.000 0.000

6.
Below is a relaxed structure of Nd5Sm3Y2, with properties calculated at the PBE-GGA level.

Results
For the raw total energy, the calculation gives -96.5 eV for the cell shown. Its magnetic moment is 0.000 Bohr magnetons per cell. As for the symmetry: Ibam (72).

a = 6.548 Å, b = 11.126 Å, c = 11.126 Å
α = 102.46°, β = 72.89°, γ = 72.89°
Fractional coordinates of all 20 atoms:
Nd: 0.242 0.929 0.588
Nd: 0.258 0.412 0.071
Nd: 0.001 0.249 0.249
Nd: 0.742 0.588 0.929
Nd: 0.758 0.071 0.412
Nd: 0.501 0.249 0.249
Nd: 0.499 0.751 0.751
Nd: 0.250 0.500 0.500
Nd: 0.999 0.751 0.751
Nd: 0.750 0.500 0.500
Sm: 0.585 0.583 0.247
Sm: 0.085 0.247 0.583
Sm: 0.915 0.753 0.417
Sm: 0.415 0.417 0.753
Sm: 0.250 0.000 0.000
Sm: 0.750 0.000 0.000
Y: 0.090 0.742 0.079
Y: 0.590 0.079 0.742
Y: 0.910 0.258 0.921
Y: 0.410 0.921 0.258

7.
Below is a relaxed structure of Nd4SmY, with properties calculated at the PBE-GGA level.

Results
For the raw total energy, the calculation gives -28.8 eV for the cell shown. Its magnetic moment is 0.000 Bohr magnetons per cell. As for the symmetry: F-43m (216).

a = 6.718 Å, b = 6.718 Å, c = 6.718 Å
α = 60.00°, β = 60.00°, γ = 60.00°
Fractional coordinates of all 6 atoms:
Nd: 0.625 0.625 0.625
Nd: 0.625 0.124 0.625
Nd: 0.625 0.625 0.124
Nd: 0.124 0.625 0.625
Y: 0.000 0.000 0.000
Sm: 0.250 0.250 0.250

8.
Below is a relaxed structure of NdSm7Y4, with properties calculated at the PBE-GGA level.

Results
For the raw total energy, the calculation gives -60.7 eV for the cell shown. Its magnetic moment is 0.000 Bohr magnetons per cell. As for the symmetry: C2/m (12).

a = 6.016 Å, b = 11.683 Å, c = 6.765 Å
α = 83.44°, β = 63.60°, γ = 75.08°
Fractional coordinates of all 12 atoms:
Sm: 0.790 0.921 0.498
Sm: 0.500 0.000 0.000
Sm: 0.061 0.673 0.205
Sm: 0.630 0.498 0.241
Sm: 0.210 0.079 0.502
Sm: 0.370 0.502 0.759
Sm: 0.939 0.327 0.795
Y: 0.364 0.776 0.496
Y: 0.636 0.224 0.504
Y: 0.752 0.682 0.814
Y: 0.248 0.318 0.186
Nd: 0.000 0.000 0.000